1.
{"formula": "Gd2MgSn", "functional": "PBE-GGA", "state": "relaxed", "final_energy_ry_per_atom": -0.6510, "magnetic_moment_mub_per_cell": 14.9, "delta_e_f_ev_per_atom": -0.418, "lattice_angstrom": [[-0.1242, -1.9678, 3.4699], [3.1599, -2.1673, -1.1160], [4.2187, 4.7004, 2.8167]], "species": ["Mg", "Gd", "Gd", "Sn"], "fractional_positions": [[0.5000, 0.5000, 0.0000], [0.0000, 0.0000, 0.2572], [0.0000, 0.0000, 0.7428], [0.5000, 0.5000, 0.5000]]}

---

2.
{"formula": "Gd2MgSn", "functional": "PBE-GGA", "state": "relaxed", "final_energy_ry_per_atom": -0.6156, "magnetic_moment_mub_per_cell": 15.0, "delta_e_f_ev_per_atom": 0.064, "lattice_angstrom": [[3.4684, 0.0000, 0.0000], [1.7342, 3.0037, 0.0000], [1.7342, 1.0012, 11.6549]], "species": ["Gd", "Gd", "Mg", "Sn"], "fractional_positions": [[0.9102, 0.9102, 0.2695], [0.0898, 0.0898, 0.7305], [0.5000, 0.5000, 0.5000], [0.0000, 0.0000, 0.0000]]}

---

3.
{"formula": "GdMgSn4", "functional": "PBE-GGA", "state": "relaxed", "final_energy_ry_per_atom": -0.4002, "magnetic_moment_mub_per_cell": 7.0, "delta_e_f_ev_per_atom": -0.163, "lattice_angstrom": [[-3.2613, 3.8726, 3.5267], [-5.7853, 1.4677, -1.5641], [-4.7320, -2.1170, 3.3462]], "species": ["Sn", "Sn", "Sn", "Sn", "Gd", "Mg"], "fractional_positions": [[0.6249, 0.6249, 0.1253], [0.6249, 0.6249, 0.6249], [0.1253, 0.6249, 0.6249], [0.6249, 0.1253, 0.6249], [0.0000, 0.0000, 0.0000], [0.2500, 0.2500, 0.2500]]}